Run i
VASP calculation (PBE-GGA) on crystalline CoHgPS2 at its relaxed geometry.

Results
Total moment ... 0.0000 μB per atom
Space group ... P4/mmm, No. 123

Cell lengths 4.725, 4.725, 4.137 Å; angles 90.00, 90.00, 90.00 degrees
Fractional positions:
Hg 0.500 0.500 0.500
P 0.000 0.000 0.500
S 0.500 0.000 0.000
S 0.000 0.500 0.000
Co 0.000 0.000 0.000

---

Run ii
VASP calculation (PBE-GGA) on crystalline CoHgPS2 at its relaxed geometry.

Results
Total moment ... 0.7888 μB per atom
Space group ... P4/mmm, No. 123

Cell lengths 5.028, 5.028, 4.905 Å; angles 90.00, 90.00, 90.00 degrees
Site moments in Bohr magnetons follow the coordinates.
Fractional positions:
Hg 0.000 0.000 0.000  0.03
S 0.500 0.000 0.000  0.20
S 0.000 0.500 0.000  0.20
P 0.000 0.000 0.500  0.44
Co 0.500 0.500 0.500  2.31

---

run i has the most favorable energy; the next structure is 1107 meV/atom above.

---

Run i
VASP calculation (PBE-GGA) on crystalline Pa2CoHg at its relaxed geometry.

Results
Total moment ... 0.0001 μB per atom
Space group ... R3m, No. 160

Cell lengths 3.523, 3.523, 8.824 Å; angles 78.48, 78.48, 60.00 degrees
Fractional positions:
Co 0.668 0.668 0.996
Pa 0.065 0.065 0.806
Pa 0.268 0.268 0.197
Hg 0.500 0.500 0.501

---

Run ii
VASP calculation (PBE-GGA) on crystalline Pa2CoHg at its relaxed geometry.

Results
Total moment ... 0.0000 μB per atom
Space group ... P4/mmm, No. 123

Cell lengths 3.139, 3.139, 8.497 Å; angles 90.00, 90.00, 90.00 degrees
Fractional positions:
Pa 0.000 0.000 0.205
Pa 0.000 0.000 0.795
Co 0.500 0.500 0.000
Hg 0.500 0.500 0.500

---

Run iii
VASP calculation (PBE-GGA) on crystalline Pa2CoHg at its relaxed geometry.

Results
Total moment ... 0.0001 μB per atom
Space group ... R-3m, No. 166

Cell lengths 3.381, 3.381, 10.286 Å; angles 80.54, 80.54, 60.00 degrees
Fractional positions:
Co 0.500 0.500 0.500
Pa 0.891 0.891 0.327
Pa 0.109 0.109 0.673
Hg 0.000 0.000 0.000

---

run ii has the most favorable energy; the next structure is 78 meV/atom above.

---

Run i
VASP calculation (PBE-GGA) on crystalline Co2HgPb2 at its relaxed geometry.

Results
Total moment ... 0.4692 μB per atom
Space group ... I4/mmm, No. 139

Cell lengths 5.325, 5.325, 5.359 Å; angles 60.21, 60.21, 90.00 degrees
Site moments in Bohr magnetons follow the coordinates.
Fractional positions:
Pb 0.750 0.250 0.500  -0.04
Pb 0.250 0.750 0.500  -0.04
Hg 0.000 0.000 0.000  -0.03
Co 0.357 0.357 0.286  1.30
Co 0.643 0.643 0.714  1.30

---

Run ii
VASP calculation (PBE-GGA) on crystalline Co2HgPb2 at its relaxed geometry.

Results
Total moment ... 0.5137 μB per atom
Space group ... P4/mbm, No. 127

Cell lengths 7.019, 7.019, 4.014 Å; angles 90.00, 90.00, 90.00 degrees
Site moments in Bohr magnetons follow the coordinates.
Fractional positions:
Pb 0.330 0.170 0.500  -0.01
Pb 0.670 0.830 0.500  -0.01
Pb 0.830 0.330 0.500  -0.01
Pb 0.170 0.670 0.500  -0.01
Co 0.121 0.379 0.000  1.34
Co 0.879 0.621 0.000  1.34
Co 0.379 0.879 0.000  1.34
Co 0.621 0.121 0.000  1.34
Hg 0.000 0.000 0.000  -0.01
Hg 0.500 0.500 0.000  -0.01

---

run ii has the most favorable energy; the next structure is 139 meV/atom above.